--- i ---
Below is a relaxed PbAuN2F crystal, with properties calculated at the GGA-PBE level.

Unit cell a=4.418 b=4.418 c=4.375 alpha=90.00 beta=90.00 gamma=90.00
Last column: magnetic moment on the atom in μB.
Sites, in units of the cell vectors:
N 0.500 0.000 0.000  0.78
N 0.000 0.500 0.000  0.78
Au 0.500 0.500 0.500  0.09
F 0.000 0.000 0.500  -0.01
Pb 0.000 0.000 0.000  -0.03

Results
Space group = P4/mmm (123)
ρ = 8.77 g/cm³
Crystal system = tetragonal

=====

--- ii ---
Below is a relaxed PbAuN2F crystal, with properties calculated at the GGA-PBE level.

Unit cell a=3.996 b=3.996 c=5.169 alpha=90.00 beta=90.00 gamma=90.00
Last column: magnetic moment on the atom in μB.
Sites, in units of the cell vectors:
Au 0.000 0.000 0.000  0.30
Pb 0.500 0.500 0.500  -0.03
F 0.000 0.000 0.500  0.00
N 0.500 0.000 0.000  0.73
N 0.000 0.500 0.000  0.73

Results
Space group = P4/mmm (123)
ρ = 9.08 g/cm³
Crystal system = tetragonal

=====

The data favor ii; the next most stable structure lies 39.2 kJ/mol of atoms above it.

=====

--- i ---
Below is a relaxed PdAuN2F crystal, with properties calculated at the GGA-PBE level.

Unit cell a=4.021 b=4.021 c=4.181 alpha=90.00 beta=90.00 gamma=90.00
Last column: magnetic moment on the atom in μB.
Sites, in units of the cell vectors:
N 0.000 0.500 0.000  0.75
N 0.500 0.000 0.000  0.75
F 0.000 0.000 0.500  0.02
Au 0.500 0.500 0.500  0.12
Pd 0.000 0.000 0.000  0.35

Results
Space group = P4/mmm (123)
ρ = 8.61 g/cm³
Crystal system = tetragonal

=====

--- ii ---
Below is a relaxed PdAuN2F crystal, with properties calculated at the GGA-PBE level.

Unit cell a=3.938 b=3.938 c=5.130 alpha=90.00 beta=90.00 gamma=90.00
Last column: magnetic moment on the atom in μB.
Sites, in units of the cell vectors:
N 0.500 0.000 0.000  0.98
N 0.000 0.500 0.000  0.98
F 0.000 0.000 0.500  0.11
Au 0.000 0.000 0.000  0.31
Pd 0.500 0.500 0.500  0.87

Results
Space group = P4/mmm (123)
ρ = 7.31 g/cm³
Crystal system = tetragonal

=====

The data favor i; the next most stable structure lies 26.5 kJ/mol of atoms above it.